# 1
Here is a relaxed K4Hf3AgSe8 crystal from Alexandria via LeMat-Bulk. Energies are from PBE.

Geometry as extended XYZ:
```
16
Lattice="4.017 2.319 7.609 -4.017 2.319 7.609 0.000 -4.638 7.609" Properties=species:S:1:pos:R:3 pbc="T T T"
K 0.000 0.000 0.000
K -2.008 -1.160 7.609
K -2.008 1.160 15.219
K 0.000 2.319 7.609
Hf -4.017 0.000 11.414
Hf -2.008 1.160 3.805
Hf 2.008 1.160 3.805
Ag 0.000 0.000 11.414
Se -2.108 -1.217 12.906
Se 0.000 0.000 5.319
Se 0.000 -2.434 9.922
Se -2.108 1.217 9.922
Se 2.108 -1.217 12.906
Se 0.000 2.434 12.906
Se 0.000 0.000 17.510
Se 2.108 1.217 9.922
```

Calculated values
* calculated volume: 26.58 Å³ per atom
* DFT total energy: -5.24 eV per atom
* raw formation energy: -113.69 kJ/mol of atoms
* SG: No. 166

# 2
Here is a relaxed KHfAg2Se4 crystal from Alexandria via LeMat-Bulk. Energies are from PBE.

Geometry as extended XYZ:
```
8
Lattice="-3.445 3.749 4.330 3.445 -3.749 4.330 3.445 3.749 -4.330" Properties=species:S:1:pos:R:3 pbc="T T T"
K 0.000 0.000 0.000
Hf 0.000 0.000 4.330
Ag 3.445 0.000 2.830
Ag 0.000 3.749 1.500
Se 2.053 2.201 -1.448
Se 4.837 2.201 1.448
Se 1.392 1.548 2.882
Se -1.392 1.548 5.778
```

Calculated values
* calculated volume: 27.96 Å³ per atom
* DFT total energy: -4.53 eV per atom
* raw formation energy: -67.07 kJ/mol of atoms
* SG: No. 23

# 3
Here is a relaxed KHf2TcAg crystal from Alexandria via LeMat-Bulk. Energies are from PBE.

Geometry as extended XYZ:
```
5
Lattice="5.175 0.000 0.000 0.000 5.175 0.000 0.000 0.000 5.056" Properties=species:S:1:pos:R:3 pbc="T T T"
K 0.000 0.000 0.000
Hf 0.000 2.588 2.528
Hf 2.588 0.000 2.528
Tc 2.588 2.588 0.000
Ag 2.588 2.588 2.528
```

Calculated values
* calculated volume: 27.08 Å³ per atom
* formation energy: 1584.7 meV per atom
* DFT total energy: -5.26 eV per atom
* SG: No. 123

# 4
Here is a relaxed K2HfAgTe4 crystal from Alexandria via LeMat-Bulk. Energies are from PBE.

Geometry as extended XYZ:
```
16
Lattice="0.000 7.112 13.410 3.223 0.000 13.410 3.223 7.112 0.000" Properties=species:S:1:pos:R:3 pbc="T T T"
K 2.417 5.334 1.496
K 4.029 8.891 8.201
K 2.417 5.334 18.619
K 4.029 8.891 25.324
Hf 0.806 1.778 3.352
Hf 5.640 12.447 23.467
Ag 2.417 5.334 10.057
Ag 4.029 8.891 16.762
Te 2.320 3.403 4.944
Te 4.126 6.960 11.649
Te 2.515 7.265 4.944
Te 2.515 3.403 15.170
Te 3.932 10.822 11.649
Te 3.932 6.960 21.875
Te 2.320 7.265 15.170
Te 4.126 10.822 21.875
```

Calculated values
* calculated volume: 38.43 Å³ per atom
* DFT total energy: -4.14 eV per atom
* raw formation energy: -67.04 kJ/mol of atoms
* SG: No. 70

# 5
Here is a relaxed K2Hf2AgTe6 crystal from Alexandria via LeMat-Bulk. Energies are from PBE.

Geometry as extended XYZ:
```
11
Lattice="3.597 -6.318 0.000 3.597 6.318 0.000 -2.311 0.000 8.520" Properties=species:S:1:pos:R:3 pbc="T T T"
K 3.597 4.288 0.000
K 3.597 -4.288 0.000
Hf 2.441 2.119 4.260
Hf 2.441 -2.119 4.260
Ag -1.155 0.000 4.260
Te 0.101 2.194 5.944
Te 1.355 0.000 2.592
Te 0.101 -2.194 5.944
Te 4.781 2.194 2.576
Te 3.527 0.000 5.928
Te 4.781 -2.194 2.576
```

Calculated values
* calculated volume: 35.20 Å³ per atom
* DFT total energy: -4.71 eV per atom
* raw formation energy: -70.34 kJ/mol of atoms
* SG: No. 12

# 6
Here is a relaxed KHfAg2Te4 crystal from Alexandria via LeMat-Bulk. Energies are from PBE.

Geometry as extended XYZ:
```
8
Lattice="-3.629 4.070 4.577 3.629 -4.070 4.577 3.629 4.070 -4.577" Properties=species:S:1:pos:R:3 pbc="T T T"
K 0.000 0.000 0.000
Hf 0.000 0.000 4.577
Ag 3.629 0.000 3.092
Ag 0.000 4.070 1.485
Te 2.147 2.358 -1.560
Te 5.111 2.358 1.560
Te 1.482 1.711 3.017
Te -1.482 1.711 6.137
```

Calculated values
* calculated volume: 33.80 Å³ per atom
* DFT total energy: -4.08 eV per atom
* raw formation energy: -40.22 kJ/mol of atoms
* SG: No. 23

# 7
Here is a relaxed KHfZr2Ag crystal from Alexandria via LeMat-Bulk. Energies are from PBE.

Geometry as extended XYZ:
```
5
Lattice="4.935 0.000 0.000 0.000 4.935 0.000 0.000 0.000 4.971" Properties=species:S:1:pos:R:3 pbc="T T T"
K 0.000 0.000 0.000
Hf 2.467 2.467 2.485
Zr 0.000 2.467 0.000
Zr 2.467 0.000 0.000
Ag 0.000 0.000 2.485
```

Calculated values
* calculated volume: 24.21 Å³ per atom
* formation energy: 1745.5 meV per atom
* DFT total energy: -4.45 eV per atom
* SG: No. 123

# 8
Here is a relaxed La2HfTcAg crystal from Alexandria via LeMat-Bulk. Energies are from PBE.

Geometry as extended XYZ:
```
5
Lattice="5.583 0.000 0.000 0.000 5.583 0.000 0.000 0.000 5.110" Properties=species:S:1:pos:R:3 pbc="T T T"
La 0.000 2.791 0.000
La 2.791 0.000 0.000
Hf 0.000 0.000 2.555
Tc 2.791 2.791 2.555
Ag 0.000 0.000 0.000
```

Calculated values
* calculated volume: 31.85 Å³ per atom
* formation energy: 1262.8 meV per atom
* DFT total energy: -5.34 eV per atom
* SG: No. 123